Entry 1:
PmAlGe2: relaxed, GGA-PBE.

Output
DOS at the Fermi energy in states/eV/cell: 2.297
Energy above the most stable polymorph in this dataset in meV per atom: 64
Formation energy in kJ/mol of atoms: -35.1

Cell: 3.8399 4.7206 10.1313 Å, 90.00 90.00 90.00°
Fractional coordinates of all 8 atoms:
Pm1 0.5000 0.0000 0.1383
Pm2 0.0000 0.5000 0.8617
Al1 0.5000 0.5000 0.3491
Al2 0.0000 0.0000 0.6509
Ge1 0.0000 0.5000 0.1628
Ge2 0.5000 0.0000 0.4610
Ge3 0.0000 0.5000 0.5390
Ge4 0.5000 0.0000 0.8372


Entry 2:
Tb4NpCo5: relaxed, GGA-PBE.

Output
DOS at the Fermi energy in states/eV/cell: 7.670
Formation energy in kJ/mol of atoms: -3.0

Cell: 4.7945 6.8077 6.8077 Å, 82.88 69.38 69.38°
Fractional coordinates of all 10 atoms:
Tb1 0.7728 0.7094 0.7093
Tb2 0.4822 0.2907 0.7094
Tb3 0.4822 0.7093 0.2906
Tb4 0.1916 0.2906 0.2907
Np1 0.0862 0.0000 0.0000
Co1 0.1454 0.6502 0.0000
Co2 0.1454 0.0000 0.6502
Co3 0.7956 0.0000 0.3498
Co4 0.7956 0.3498 0.0000
Co5 0.5927 0.0000 0.0000


Entry 3:
Sc3NiPb: relaxed, GGA-PBE.

Output
DOS at the Fermi energy in states/eV/cell: 10.027
Energy above the most stable polymorph in this dataset in meV per atom: 1169
Formation energy in kJ/mol of atoms: 87.2

Cell: 5.3725 5.3725 5.3725 Å, 90.00 90.00 90.00°
Fractional coordinates of all 5 atoms:
Pb1 0.0000 0.0000 0.0000
Ni1 0.5000 0.5000 0.5000
Sc1 0.0000 0.5000 0.0000
Sc2 0.0000 0.0000 0.5000
Sc3 0.5000 0.0000 0.0000


Entry 4:
KCuSeBr2: relaxed, GGA-PBE.

Output
Formation energy from raw total energies in eV per atom: 0.497
DOS at the Fermi energy in states/eV/cell: 4.604
Energy above the most stable polymorph in this dataset in meV per atom: 1050

Cell: 6.0479 6.0479 5.9521 Å, 90.00 90.00 90.00°
Fractional coordinates of all 5 atoms:
K1 0.0000 0.0000 0.0000
Cu1 0.5000 0.5000 0.5000
Se1 0.0000 0.0000 0.5000
Br1 0.0000 0.5000 0.0000
Br2 0.5000 0.0000 0.0000


| no. | total magnetization (Bohr magnetons per cell) | density (g cm⁻³) |
| --- | --- | --- |
| 1 | 0.00 | 5.7 |
| 2 | 0.03 | 10.0 |
| 3 | 1.46 | 4.3 |
| 4 | 2.03 | 2.6 |